(1)
Ce3Zn2Ir7, relaxed, DFT GGA-PBE; symmetry = R-3m (166); formation energy from the elements = -737 kJ/mol of formula units; volume = 215.7 Å³ per cell; M_tot = 0.886 Bohr magnetons per cell; density = 14.6 g cm⁻³
1.0
2.7251 1.5733 8.3856
-2.7251 1.5733 8.3856
0.0000 -3.1466 8.3856
Ce Zn Ir
3 2 7
Direct
0.0000 0.0000 0.0000
0.1402 0.1402 0.1402
0.8598 0.8598 0.8598
0.3349 0.3349 0.3349
0.6651 0.6651 0.6651
0.0776 0.5860 0.5860
0.4140 0.4140 0.9224
0.4140 0.9224 0.4140
0.5000 0.5000 0.5000
0.5860 0.0776 0.5860
0.5860 0.5860 0.0776
0.9224 0.4140 0.4140

(2)
Ce2ZnIr, relaxed, DFT GGA-PBE; symmetry = P2_1/m (11); formation energy from the elements = -192 kJ/mol of formula units; volume = 190.1 Å³ per cell; M_tot = 2.938 Bohr magnetons per cell; density = 9.4 g cm⁻³
1.0
6.0463 0.0000 0.0000
0.0000 4.0062 0.0000
-2.9513 0.0000 7.8480
Ce Zn Ir
4 2 2
Direct
0.2122 0.2500 0.4101
0.2245 0.2500 0.9493
0.7755 0.7500 0.0507
0.7878 0.7500 0.5899
0.3576 0.7500 0.7112
0.6424 0.2500 0.2888
0.3047 0.7500 0.2054
0.6953 0.2500 0.7946